Crystalline FeC at its relaxed geometry. Source: Alexandria, functional GGA-PBEsol.

Lattice parameters (Å, degrees): 2.7316 4.6892 4.6892 120.00 90.00 90.00
With the nearest neighbours (Å) after each atom.
Fractional coordinates of all 6 atoms:
1 C 0.5000 0.3333 0.6667  6 Fe 1.92
2 Fe 0.0000 0.0000 0.5000  4 C 1.92
3 C 0.0000 0.0000 0.0000  6 Fe 2.34
4 Fe 0.0000 0.5000 0.0000  4 C 1.92
5 Fe 0.0000 0.5000 0.5000  4 C 1.92
6 C 0.5000 0.6667 0.3333  6 Fe 1.92

Summary:
theoretical density = 6498 kg/m3
energy of formation = 1.71 eV per formula unit